A relaxed Th4TlHg crystal. Source: Alexandria, functional GGA-PBE.

Summary:
Energy of formation = -0.098 eV per atom
ΔE to the lowest computed polymorph = 0.000 eV per atom

a b c (Å): 6.007 7.807 7.807
angles (deg): 90.00 90.00 90.00
Positions (direct):
Th (0.000, 0.150, 0.655)
Th (0.000, 0.850, 0.345)
Th (0.000, 0.345, 0.150)
Th (0.000, 0.655, 0.850)
Th (0.500, 0.850, 0.655)
Th (0.500, 0.150, 0.345)
Th (0.500, 0.655, 0.150)
Th (0.500, 0.345, 0.850)
Tl (0.250, 0.500, 0.500)
Tl (0.750, 0.500, 0.500)
Hg (0.250, 0.000, 0.000)
Hg (0.750, 0.000, 0.000)


A relaxed YSc2ZnC crystal. Source: Alexandria, functional GGA-PBE.

Summary:
Energy of formation = -0.368 eV per atom

a b c (Å): 4.507 4.507 4.931
angles (deg): 90.00 90.00 90.00
Positions (direct):
Y (0.000, 0.000, 0.500)
Sc (0.000, 0.500, 0.000)
Sc (0.500, 0.000, 0.000)
Zn (0.500, 0.500, 0.500)
C (0.000, 0.000, 0.000)


A relaxed NbZn3H crystal. Source: Alexandria, functional GGA-PBE.

Summary:
ΔE to the lowest computed polymorph = 0.000 eV per atom

a b c (Å): 4.002 4.002 4.002
angles (deg): 90.00 90.00 90.00
Positions (direct):
H (0.000, 0.000, 0.000)
Nb (0.500, 0.500, 0.500)
Zn (0.000, 0.500, 0.000)
Zn (0.000, 0.000, 0.500)
Zn (0.500, 0.000, 0.000)


A relaxed MgZrSe4 crystal. Source: Alexandria, functional GGA-PBE.

Summary:
Raw formation energy = 1.87 eV/f.u.

a b c (Å): 5.709 5.709 5.709
angles (deg): 60.00 60.00 60.00
Positions (direct):
Mg (0.000, 0.000, 0.000)
Zr (0.750, 0.750, 0.750)
Se (0.375, 0.874, 0.375)
Se (0.874, 0.375, 0.375)
Se (0.375, 0.375, 0.874)
Se (0.375, 0.375, 0.375)


A relaxed Na2TlCl crystal. Source: Alexandria, functional GGA-PBE.

Summary:
Raw formation energy = -3.35 eV/f.u.
ΔE to the lowest computed polymorph = 0.000 eV per atom

a b c (Å): 3.466 3.466 8.427
angles (deg): 90.00 90.00 90.00
Positions (direct):
Na (0.000, 0.000, 0.799)
Na (0.000, 0.000, 0.201)
Tl (0.500, 0.500, 0.500)
Cl (0.500, 0.500, 0.000)


A relaxed TbCuRh crystal. Source: Alexandria, functional GGA-PBE.

Summary:
Energy of formation = -0.395 eV per atom
ΔE to the lowest computed polymorph = 0.157 eV per atom

a b c (Å): 3.447 3.447 5.156
angles (deg): 109.53 109.53 90.00
Positions (direct):
Tb (0.947, 0.947, 0.894)
Rh (0.270, 0.270, 0.540)
Cu (0.633, 0.633, 0.267)


A relaxed Re2BP crystal. Source: Alexandria, functional GGA-PBE.

Summary:
Energy of formation = 0.145 eV per atom
ΔE to the lowest computed polymorph = 0.000 eV per atom

a b c (Å): 4.054 4.054 4.054
angles (deg): 60.00 60.00 60.00
Positions (direct):
Re (0.250, 0.250, 0.250)
Re (0.750, 0.750, 0.750)
B (0.000, 0.000, 0.000)
P (0.500, 0.500, 0.500)


A relaxed BaCr3B crystal. Source: Alexandria, functional GGA-PBE.

Summary:
Energy of formation = 0.831 eV per atom
ΔE to the lowest computed polymorph = 0.000 eV per atom

a b c (Å): 4.504 4.504 4.504
angles (deg): 90.00 90.00 90.00
Site moments in Bohr magnetons follow the coordinates.
Positions (direct):
Cr (0.000, 0.500, 0.000)  3.38
Cr (0.000, 0.000, 0.500)  3.58
Cr (0.500, 0.000, 0.000)  2.78
B (0.000, 0.000, 0.000)  -0.20
Ba (0.500, 0.500, 0.500)  0.13


A relaxed Sm5PuSb4 crystal. Source: Alexandria, functional GGA-PBE.

Summary:
Raw formation energy = -6.72 eV/f.u.

a b c (Å): 4.380 8.590 9.764
angles (deg): 104.80 102.96 90.00
Site moments in Bohr magnetons follow the coordinates.
Positions (direct):
Sm (0.826, 0.650, 0.651)  0.02
Sm (0.836, 0.172, 0.673)  0.03
Sm (0.164, 0.828, 0.327)  0.03
Sm (0.500, 0.500, 0.000)  0.04
Sm (0.174, 0.350, 0.349)  0.02
Pu (0.500, 0.000, 0.000)  5.25
Sb (0.331, 0.909, 0.662)  -0.02
Sb (0.994, 0.747, 0.987)  -0.04
Sb (0.669, 0.091, 0.338)  -0.02
Sb (0.006, 0.253, 0.013)  -0.04


A relaxed KSmAuSe2 crystal. Source: Alexandria, functional GGA-PBE.

Summary:
Raw formation energy = -5.48 eV/f.u.

a b c (Å): 4.997 7.710 8.121
angles (deg): 98.93 90.00 90.00
Positions (direct):
K (0.137, 0.500, 0.750)
K (0.863, 0.500, 0.250)
Sm (0.492, 0.000, 0.250)
Sm (0.508, 0.000, 0.750)
Au (0.000, 0.000, 0.000)
Au (0.000, 0.000, 0.500)
Se (0.658, 0.746, 0.966)
Se (0.658, 0.254, 0.534)
Se (0.342, 0.746, 0.466)
Se (0.342, 0.254, 0.034)


A relaxed K2In4Hg3Pb crystal. Source: Alexandria, functional GGA-PBE.

Summary:
Energy of formation = -0.134 eV per atom

a b c (Å): 5.043 5.043 12.457
angles (deg): 90.00 90.00 90.00
Positions (direct):
K (0.500, 0.000, 0.247)
K (0.000, 0.500, 0.753)
In (0.500, 0.500, 0.000)
In (0.000, 0.000, 0.000)
In (0.500, 0.000, 0.639)
In (0.000, 0.500, 0.361)
Hg (0.000, 0.000, 0.500)
Hg (0.500, 0.000, 0.869)
Hg (0.000, 0.500, 0.131)
Pb (0.500, 0.500, 0.500)


A relaxed Tb4ErMg3 crystal. Source: Alexandria, functional GGA-PBE.

Summary:
Energy of formation = -0.018 eV per atom

a b c (Å): 3.795 5.450 11.010
angles (deg): 90.00 90.00 90.00
Positions (direct):
Mg (0.500, 0.000, 0.251)
Mg (0.500, 0.500, 0.500)
Mg (0.500, 0.000, 0.749)
Tb (0.000, 0.000, 0.500)
Tb (0.000, 0.500, 0.740)
Tb (0.000, 0.000, 0.000)
Tb (0.000, 0.500, 0.260)
Er (0.500, 0.500, 0.000)


A relaxed HoThIrRu crystal. Source: Alexandria, functional GGA-PBE.

Summary:
Energy of formation = -0.615 eV per atom

a b c (Å): 4.937 4.937 4.937
angles (deg): 60.00 60.00 60.00
Positions (direct):
Ru (0.750, 0.750, 0.750)
Ir (0.250, 0.250, 0.250)
Ho (0.500, 0.500, 0.500)
Th (0.000, 0.000, 0.000)


A relaxed PaCdCoRh crystal. Source: Alexandria, functional GGA-PBE.

Summary:
Energy of formation = -0.258 eV per atom

a b c (Å): 4.668 4.668 4.668
angles (deg): 60.00 60.00 60.00
Positions (direct):
Co (0.000, 0.000, 0.000)
Pa (0.250, 0.250, 0.250)
Rh (0.500, 0.500, 0.500)
Cd (0.750, 0.750, 0.750)


A relaxed Sc2MnMo crystal. Source: Alexandria, functional GGA-PBE.

Summary:
Energy of formation = 0.229 eV per atom
ΔE to the lowest computed polymorph = 0.208 eV per atom

a b c (Å): 2.965 2.965 8.124
angles (deg): 90.00 90.00 90.00
Site moments in Bohr magnetons follow the coordinates.
Positions (direct):
Mn (0.500, 0.500, 0.250)  2.61
Mo (0.500, 0.500, 0.750)  0.14
Sc (0.000, 0.000, 0.019)  -0.17
Sc (0.000, 0.000, 0.481)  -0.17


A relaxed Cd10Ga3Hg crystal. Source: Alexandria, functional GGA-PBE.

Summary:
Energy of formation = 0.093 eV per atom

a b c (Å): 9.866 9.866 9.866
angles (deg): 60.00 60.00 60.00
Positions (direct):
Cd (0.000, 0.000, 0.337)
Cd (0.000, 0.337, 0.000)
Cd (0.337, 0.000, 0.000)
Cd (0.663, 0.337, 0.000)
Cd (0.374, 0.374, 0.374)
Cd (0.123, 0.626, 0.626)
Cd (0.374, 0.877, 0.374)
Cd (0.663, 0.000, 0.337)
Cd (0.374, 0.374, 0.877)
Cd (0.877, 0.374, 0.374)
Cd (0.626, 0.626, 0.123)
Cd (0.000, 0.000, 0.663)
Cd (0.337, 0.663, 0.000)
Cd (0.000, 0.663, 0.337)
Cd (0.000, 0.337, 0.663)
Cd (0.663, 0.000, 0.000)
Cd (0.626, 0.626, 0.626)
Cd (0.000, 0.663, 0.000)
Cd (0.626, 0.123, 0.626)
Cd (0.337, 0.000, 0.663)
Ga (0.725, 0.725, 0.275)
Ga (0.725, 0.275, 0.725)
Ga (0.275, 0.725, 0.725)
Ga (0.275, 0.275, 0.725)
Ga (0.725, 0.275, 0.275)
Ga (0.275, 0.725, 0.275)
Hg (0.250, 0.250, 0.250)
Hg (0.750, 0.750, 0.750)


A relaxed BaAcN crystal. Source: Alexandria, functional GGA-PBE.

Summary:
Raw formation energy = -1.76 eV/f.u.
ΔE to the lowest computed polymorph = 0.014 eV per atom

a b c (Å): 7.230 3.987 3.987
angles (deg): 120.00 90.00 90.00
Positions (direct):
Ac (0.188, 0.333, 0.667)
Ba (0.763, 0.667, 0.333)
N (0.049, 0.000, 0.000)


A relaxed CoCuRe2 crystal. Source: Alexandria, functional GGA-PBE.

Summary:
Energy of formation = 0.200 eV per atom
ΔE to the lowest computed polymorph = 0.041 eV per atom

a b c (Å): 2.616 2.616 7.694
angles (deg): 90.00 90.00 89.97
Site moments in Bohr magnetons follow the coordinates.
Positions (direct):
Co (0.500, 0.500, 0.250)  0.65
Cu (0.500, 0.500, 0.750)  0.01
Re (0.000, 0.000, 0.009)  0.03
Re (0.000, 0.000, 0.491)  0.03


A relaxed La3Tb5Pr4 crystal. Source: Alexandria, functional GGA-PBE.

Summary:
Energy of formation = 0.018 eV per atom
ΔE to the lowest computed polymorph = 0.000 eV per atom

a b c (Å): 7.309 11.571 13.197
angles (deg): 151.30 56.46 129.10
Positions (direct):
La (0.580, 0.162, 0.331)
La (0.000, 0.000, 0.500)
La (0.420, 0.838, 0.669)
Tb (0.331, 0.666, 0.835)
Tb (0.500, 0.000, 0.500)
Tb (0.751, 0.502, 0.001)
Tb (0.249, 0.498, 0.999)
Tb (0.669, 0.334, 0.165)
Pr (0.916, 0.838, 0.669)
Pr (0.831, 0.661, 0.831)
Pr (0.169, 0.339, 0.169)
Pr (0.084, 0.162, 0.331)


A relaxed AsINCl2 crystal. Source: Alexandria, functional GGA-PBE.

Summary:
Raw formation energy = 3.12 eV/f.u.

a b c (Å): 5.681 3.571 5.681
angles (deg): 90.00 90.00 90.00
Positions (direct):
I (0.500, 0.500, 0.500)
As (0.000, 0.000, 0.000)
N (0.000, 0.500, 0.000)
Cl (0.000, 0.000, 0.500)
Cl (0.500, 0.000, 0.000)


A relaxed Nd8IrRu2 crystal. Source: Alexandria, functional GGA-PBE.

Summary:
Energy of formation = -0.212 eV per atom
ΔE to the lowest computed polymorph = 0.000 eV per atom

a b c (Å): 5.025 6.979 9.389
angles (deg): 104.77 105.52 90.00
Positions (direct):
Nd (0.407, 0.552, 0.813)
Nd (0.669, 0.968, 0.337)
Nd (0.795, 0.680, 0.590)
Nd (0.967, 0.210, 0.934)
Nd (0.205, 0.320, 0.410)
Nd (0.331, 0.032, 0.663)
Nd (0.593, 0.448, 0.187)
Nd (0.033, 0.790, 0.066)
Ir (0.500, 0.000, 0.000)
Ru (0.813, 0.294, 0.625)
Ru (0.187, 0.706, 0.375)


A relaxed PmAsF6 crystal. Source: Alexandria, functional GGA-PBE.

Summary:
Raw formation energy = -23.54 eV/f.u.

a b c (Å): 5.021 5.021 5.440
angles (deg): 96.20 96.20 111.93
Positions (direct):
Pm (0.000, 0.000, 0.000)
As (0.500, 0.500, 0.500)
F (0.228, 0.228, 0.700)
F (0.454, 0.137, 0.243)
F (0.772, 0.772, 0.300)
F (0.863, 0.546, 0.757)
F (0.546, 0.863, 0.757)
F (0.137, 0.454, 0.243)


A relaxed Rb2MgInHg6 crystal. Source: Alexandria, functional GGA-PBE.

Summary:
Energy of formation = -0.148 eV per atom

a b c (Å): 9.583 6.617 8.081
angles (deg): 65.81 52.53 90.02
Positions (direct):
Rb (0.296, 0.745, 0.510)
Rb (0.704, 0.255, 0.490)
Mg (0.500, 0.500, 0.000)
In (0.000, 0.000, 0.000)
Hg (0.244, 0.734, 0.029)
Hg (0.756, 0.763, 0.972)
Hg (0.128, 0.254, 0.492)
Hg (0.756, 0.266, 0.971)
Hg (0.244, 0.237, 0.028)
Hg (0.872, 0.746, 0.508)


A relaxed NaScGeCl6 crystal. Source: Alexandria, functional GGA-PBE.

Summary:
Raw formation energy = -14.49 eV/f.u.

a b c (Å): 6.697 6.697 12.442
angles (deg): 90.00 90.00 120.00
Positions (direct):
Na (0.000, 0.000, 0.000)
Na (0.000, 0.000, 0.500)
Sc (0.667, 0.333, 0.250)
Sc (0.333, 0.667, 0.750)
Ge (0.333, 0.667, 0.250)
Ge (0.667, 0.333, 0.750)
Cl (0.653, 0.634, 0.134)
Cl (0.981, 0.347, 0.134)
Cl (0.347, 0.981, 0.634)
Cl (0.019, 0.653, 0.866)
Cl (0.366, 0.347, 0.366)
Cl (0.981, 0.634, 0.366)
Cl (0.634, 0.981, 0.866)
Cl (0.653, 0.019, 0.366)
Cl (0.019, 0.366, 0.634)
Cl (0.366, 0.019, 0.134)
Cl (0.634, 0.653, 0.634)
Cl (0.347, 0.366, 0.866)


A relaxed NbCoBiOs2 crystal. Source: Alexandria, functional GGA-PBE.

Summary:
Energy of formation = 1.503 eV per atom

a b c (Å): 4.476 4.743 4.476
angles (deg): 90.00 90.00 90.00
Site moments in Bohr magnetons follow the coordinates.
Positions (direct):
Co (0.000, 0.000, 0.000)  0.37
Nb (0.500, 0.500, 0.500)  0.08
Os (0.000, 0.000, 0.500)  0.11
Os (0.500, 0.000, 0.000)  0.08
Bi (0.000, 0.500, 0.000)  0.00